## i
# ThCd3Au3 | Alexandria | PBE-GGA | relaxed
# Total magnetization ... 0.00 μB per formula unit
data_ThCd3Au3
_chemical_formula_sum 'Th2 Cd6 Au6'
_cell_length_a 4.9754
_cell_length_b 8.4627
_cell_length_c 8.4655
_cell_angle_alpha 120.02
_cell_angle_beta 90.00
_cell_angle_gamma 90.00
_symmetry_space_group_name_H-M 'P 1'
_symmetry_Int_Tables_number 1
loop_
_symmetry_equiv_pos_as_xyz
'x,y,z'
loop_
_atom_site_label
_atom_site_type_symbol
_atom_site_fract_x
_atom_site_fract_y
_atom_site_fract_z
_atom_site_occupancy
Au1 Au 0.7500 0.9172 0.3931 1
Au2 Au 0.2500 0.3931 0.4759 1
Cd1 Cd 0.2500 0.7733 0.7850 1
Cd2 Cd 0.7500 0.9882 0.7731 1
Cd3 Cd 0.7500 0.2267 0.2150 1
Th1 Th 0.2500 0.6666 0.3334 1
Cd4 Cd 0.2500 0.2150 0.9881 1
Cd5 Cd 0.2500 0.0118 0.2269 1
Cd6 Cd 0.7500 0.7850 0.0119 1
Au3 Au 0.2500 0.5244 0.9174 1
Au4 Au 0.7500 0.4756 0.0826 1
Au5 Au 0.7500 0.6069 0.5241 1
Au6 Au 0.2500 0.0828 0.6069 1
Th2 Th 0.7500 0.3334 0.6666 1

=====

## ii
# ThCd3Au3 | Alexandria | PBE-GGA | relaxed
# Total magnetization ... 0.56 μB per formula unit
data_ThCd3Au3
_chemical_formula_sum 'Th2 Cd6 Au6'
_cell_length_a 7.4188
_cell_length_b 7.4188
_cell_length_c 7.4188
_cell_angle_alpha 90.00
_cell_angle_beta 90.00
_cell_angle_gamma 90.00
_symmetry_space_group_name_H-M 'P 1'
_symmetry_Int_Tables_number 1
loop_
_symmetry_equiv_pos_as_xyz
'x,y,z'
loop_
_atom_site_label
_atom_site_type_symbol
_atom_site_fract_x
_atom_site_fract_y
_atom_site_fract_z
_atom_site_occupancy
Cd1 Cd 0.7500 0.0000 0.5000 1
Cd2 Cd 0.5000 0.2500 0.0000 1
Th1 Th 0.0000 0.0000 0.0000 1
Au1 Au 0.0000 0.7500 0.5000 1
Au2 Au 0.5000 0.0000 0.2500 1
Cd3 Cd 0.5000 0.7500 0.0000 1
Cd4 Cd 0.0000 0.5000 0.7500 1
Au3 Au 0.7500 0.5000 0.0000 1
Au4 Au 0.0000 0.2500 0.5000 1
Cd5 Cd 0.0000 0.5000 0.2500 1
Au5 Au 0.2500 0.5000 0.0000 1
Th2 Th 0.5000 0.5000 0.5000 1
Au6 Au 0.5000 0.0000 0.7500 1
Cd6 Cd 0.2500 0.0000 0.5000 1

=====

## iii
# ThCd3Au3 | Alexandria | PBE-GGA | relaxed
# Total magnetization ... 0.00 μB per formula unit
data_ThCd3Au3
_chemical_formula_sum 'Th2 Cd6 Au6'
_cell_length_a 8.3431
_cell_length_b 8.3431
_cell_length_c 7.4582
_cell_angle_alpha 55.99
_cell_angle_beta 55.99
_cell_angle_gamma 60.00
_symmetry_space_group_name_H-M 'P 1'
_symmetry_Int_Tables_number 1
loop_
_symmetry_equiv_pos_as_xyz
'x,y,z'
loop_
_atom_site_label
_atom_site_type_symbol
_atom_site_fract_x
_atom_site_fract_y
_atom_site_fract_z
_atom_site_occupancy
Cd1 Cd 0.4497 0.7960 0.6240 1
Cd2 Cd 0.1303 0.4497 0.6240 1
Au1 Au 0.9566 0.2475 0.1388 1
Au2 Au 0.2475 0.6571 0.1388 1
Cd3 Cd 0.5503 0.2040 0.3760 1
Cd4 Cd 0.8697 0.5503 0.3760 1
Cd5 Cd 0.2040 0.8697 0.3760 1
Au3 Au 0.0434 0.7525 0.8612 1
Cd6 Cd 0.7960 0.1303 0.6240 1
Th1 Th 0.3355 0.3355 0.9934 1
Au4 Au 0.6571 0.9566 0.1388 1
Au5 Au 0.7525 0.3429 0.8612 1
Th2 Th 0.6645 0.6645 0.0066 1
Au6 Au 0.3429 0.0434 0.8612 1

=====

Most stable structure - i; separation to the second - 7.8 kJ/mol of atoms.

=====

## i
# ThCd3Au | Alexandria | PBE-GGA | relaxed
# Total magnetization ... 0.00 μB per formula unit
data_ThCd3Au
_chemical_formula_sum 'Th2 Cd6 Au2'
_cell_length_a 5.6666
_cell_length_b 6.0472
_cell_length_c 7.4801
_cell_angle_alpha 90.00
_cell_angle_beta 109.66
_cell_angle_gamma 90.00
_symmetry_space_group_name_H-M 'P 1'
_symmetry_Int_Tables_number 1
loop_
_symmetry_equiv_pos_as_xyz
'x,y,z'
loop_
_atom_site_label
_atom_site_type_symbol
_atom_site_fract_x
_atom_site_fract_y
_atom_site_fract_z
_atom_site_occupancy
Cd1 Cd 0.8574 0.4476 0.1975 1
Au1 Au 0.1828 0.9476 0.7366 1
Cd2 Cd 0.1770 0.9476 0.3630 1
Au2 Au 0.8515 0.4476 0.8240 1
Cd3 Cd 0.7113 0.1857 0.4740 1
Cd4 Cd 0.7113 0.7096 0.4740 1
Th1 Th 0.2854 0.4476 0.6501 1
Cd5 Cd 0.3230 0.6857 0.0866 1
Th2 Th 0.7489 0.9476 0.9105 1
Cd6 Cd 0.3230 0.2096 0.0866 1

=====

## ii
# ThCd3Au | Alexandria | PBE-GGA | relaxed
# Total magnetization ... 0.00 μB per formula unit
data_ThCd3Au
_chemical_formula_sum 'Th4 Cd12 Au4'
_cell_length_a 4.2461
_cell_length_b 9.3171
_cell_length_c 12.2571
_cell_angle_alpha 90.00
_cell_angle_beta 90.00
_cell_angle_gamma 90.00
_symmetry_space_group_name_H-M 'P 1'
_symmetry_Int_Tables_number 1
loop_
_symmetry_equiv_pos_as_xyz
'x,y,z'
loop_
_atom_site_label
_atom_site_type_symbol
_atom_site_fract_x
_atom_site_fract_y
_atom_site_fract_z
_atom_site_occupancy
Cd1 Cd 0.2500 0.4147 0.7162 1
Th1 Th 0.7500 0.3295 0.5079 1
Cd2 Cd 0.2500 0.8542 0.2035 1
Cd3 Cd 0.7500 0.1458 0.7965 1
Cd4 Cd 0.7500 0.4330 0.9027 1
Au1 Au 0.7500 0.3582 0.1253 1
Au2 Au 0.2500 0.6418 0.8747 1
Cd5 Cd 0.2500 0.9147 0.7838 1
Cd6 Cd 0.7500 0.9330 0.5973 1
Cd7 Cd 0.7500 0.6458 0.7035 1
Cd8 Cd 0.7500 0.5853 0.2838 1
Cd9 Cd 0.7500 0.0853 0.2162 1
Th2 Th 0.7500 0.8295 0.9921 1
Th3 Th 0.2500 0.1705 0.0079 1
Cd10 Cd 0.2500 0.5670 0.0973 1
Au3 Au 0.7500 0.8582 0.3747 1
Th4 Th 0.2500 0.6705 0.4921 1
Cd11 Cd 0.2500 0.3542 0.2965 1
Au4 Au 0.2500 0.1418 0.6253 1
Cd12 Cd 0.2500 0.0670 0.4027 1

=====

Most stable structure - i; separation to the second - 2.4 kJ/mol of atoms.

=====

## i
# Th2Cd3Au4 | Alexandria | PBE-GGA | relaxed
# Total magnetization ... 0.00 μB per formula unit
data_Th2Cd3Au4
_chemical_formula_sum 'Th4 Cd6 Au8'
_cell_length_a 6.0727
_cell_length_b 8.4836
_cell_length_c 8.6228
_cell_angle_alpha 90.00
_cell_angle_beta 110.62
_cell_angle_gamma 90.00
_symmetry_space_group_name_H-M 'P 1'
_symmetry_Int_Tables_number 1
loop_
_symmetry_equiv_pos_as_xyz
'x,y,z'
loop_
_atom_site_label
_atom_site_type_symbol
_atom_site_fract_x
_atom_site_fract_y
_atom_site_fract_z
_atom_site_occupancy
Cd1 Cd 0.0378 0.7500 0.5755 1
Au1 Au 0.8179 0.0453 0.6357 1
Au2 Au 0.6821 0.5453 0.3643 1
Au3 Au 0.7119 0.7500 0.9237 1
Cd2 Cd 0.0000 0.0000 0.0000 1
Au4 Au 0.2119 0.7500 0.9237 1
Au5 Au 0.2881 0.2500 0.0763 1
Th1 Th 0.1144 0.5854 0.2288 1
Au6 Au 0.1821 0.9547 0.3643 1
Cd3 Cd 0.5000 0.5000 0.0000 1
Th2 Th 0.6144 0.9146 0.2288 1
Cd4 Cd 0.4622 0.2500 0.4245 1
Au7 Au 0.7881 0.2500 0.0763 1
Cd5 Cd 0.9622 0.2500 0.4245 1
Cd6 Cd 0.5378 0.7500 0.5755 1
Th3 Th 0.8856 0.4146 0.7712 1
Au8 Au 0.3179 0.4547 0.6357 1
Th4 Th 0.3856 0.0854 0.7712 1

=====

## ii
# Th2Cd3Au4 | Alexandria | PBE-GGA | relaxed
# Total magnetization ... 0.00 μB per formula unit
data_Th2Cd3Au4
_chemical_formula_sum 'Th2 Cd3 Au4'
_cell_length_a 4.9181
_cell_length_b 4.9198
_cell_length_c 9.8737
_cell_angle_alpha 89.89
_cell_angle_beta 89.99
_cell_angle_gamma 60.01
_symmetry_space_group_name_H-M 'P 1'
_symmetry_Int_Tables_number 1
loop_
_symmetry_equiv_pos_as_xyz
'x,y,z'
loop_
_atom_site_label
_atom_site_type_symbol
_atom_site_fract_x
_atom_site_fract_y
_atom_site_fract_z
_atom_site_occupancy
Au1 Au 0.0009 0.9977 0.3545 1
Au2 Au 0.6664 0.6674 0.9058 1
Cd1 Cd 0.0000 0.0000 0.0000 1
Cd2 Cd 0.3340 0.3315 0.4230 1
Au3 Au 0.9991 0.0023 0.6455 1
Cd3 Cd 0.6660 0.6685 0.5770 1
Th1 Th 0.6672 0.6653 0.2191 1
Th2 Th 0.3328 0.3347 0.7809 1
Au4 Au 0.3336 0.3326 0.0942 1

=====

Most stable structure - ii; separation to the second - 9.7 kJ/mol of atoms.

=====

## i
# TiCd3Au | Alexandria | PBE-GGA | relaxed
# Total magnetization ... 2.60 μB per formula unit
data_TiCd3Au
_chemical_formula_sum 'Ti1 Cd3 Au1'
_cell_length_a 5.3957
_cell_length_b 5.3957
_cell_length_c 5.3957
_cell_angle_alpha 90.00
_cell_angle_beta 90.00
_cell_angle_gamma 90.00
_symmetry_space_group_name_H-M 'P 1'
_symmetry_Int_Tables_number 1
loop_
_symmetry_equiv_pos_as_xyz
'x,y,z'
loop_
_atom_site_label
_atom_site_type_symbol
_atom_site_fract_x
_atom_site_fract_y
_atom_site_fract_z
_atom_site_occupancy
Cd1 Cd 0.0000 0.5000 0.0000 1
Cd2 Cd 0.5000 0.0000 0.0000 1
Cd3 Cd 0.0000 0.0000 0.5000 1
Au1 Au 0.5000 0.5000 0.5000 1
Ti1 Ti 0.0000 0.0000 0.0000 1

=====

## ii
# TiCd3Au | Alexandria | PBE-GGA | relaxed
# Total magnetization ... 2.60 μB per formula unit
data_TiCd3Au
_chemical_formula_sum 'Ti1 Cd3 Au1'
_cell_length_a 5.1828
_cell_length_b 5.1828
_cell_length_c 5.1828
_cell_angle_alpha 90.00
_cell_angle_beta 90.00
_cell_angle_gamma 90.00
_symmetry_space_group_name_H-M 'P 1'
_symmetry_Int_Tables_number 1
loop_
_symmetry_equiv_pos_as_xyz
'x,y,z'
loop_
_atom_site_label
_atom_site_type_symbol
_atom_site_fract_x
_atom_site_fract_y
_atom_site_fract_z
_atom_site_occupancy
Ti1 Ti 0.5000 0.5000 0.5000 1
Au1 Au 0.0000 0.0000 0.0000 1
Cd1 Cd 0.0000 0.0000 0.5000 1
Cd2 Cd 0.0000 0.5000 0.0000 1
Cd3 Cd 0.5000 0.0000 0.0000 1

=====

Most stable structure - ii; separation to the second - 32.6 kJ/mol of atoms.

=====

## i
# Ti3CdAu | Alexandria | PBE-GGA | relaxed
# Total magnetization ... 0.00 μB per formula unit
data_Ti3CdAu
_chemical_formula_sum 'Ti3 Cd1 Au1'
_cell_length_a 4.9031
_cell_length_b 4.9031
_cell_length_c 4.9031
_cell_angle_alpha 90.00
_cell_angle_beta 90.00
_cell_angle_gamma 90.00
_symmetry_space_group_name_H-M 'P 1'
_symmetry_Int_Tables_number 1
loop_
_symmetry_equiv_pos_as_xyz
'x,y,z'
loop_
_atom_site_label
_atom_site_type_symbol
_atom_site_fract_x
_atom_site_fract_y
_atom_site_fract_z
_atom_site_occupancy
Ti1 Ti 0.5000 0.0000 0.0000 1
Au1 Au 0.0000 0.0000 0.0000 1
Cd1 Cd 0.5000 0.5000 0.5000 1
Ti2 Ti 0.0000 0.0000 0.5000 1
Ti3 Ti 0.0000 0.5000 0.0000 1

=====

## ii
# Ti3CdAu | Alexandria | PBE-GGA | relaxed
# Total magnetization ... 5.11 μB per formula unit
data_Ti3CdAu
_chemical_formula_sum 'Ti3 Cd1 Au1'
_cell_length_a 4.9697
_cell_length_b 4.9697
_cell_length_c 4.9697
_cell_angle_alpha 90.00
_cell_angle_beta 90.00
_cell_angle_gamma 90.00
_symmetry_space_group_name_H-M 'P 1'
_symmetry_Int_Tables_number 1
loop_
_symmetry_equiv_pos_as_xyz
'x,y,z'
loop_
_atom_site_label
_atom_site_type_symbol
_atom_site_fract_x
_atom_site_fract_y
_atom_site_fract_z
_atom_site_occupancy
Ti1 Ti 0.5000 0.0000 0.0000 1
Au1 Au 0.5000 0.5000 0.5000 1
Cd1 Cd 0.0000 0.0000 0.0000 1
Ti2 Ti 0.0000 0.0000 0.5000 1
Ti3 Ti 0.0000 0.5000 0.0000 1

=====

Most stable structure - i; separation to the second - 52.5 kJ/mol of atoms.